No. 1
A plane-wave DFT calculation with PBE was carried out for crystalline La3ThPb4 at its relaxed geometry.

Computed properties:
**Formation enthalpy at 0 K**: -510 meV per atom
**Space group**: P4/mmm
**Calculated total energy**: -5.139 eV/atom

POSCAR file:
```
La3ThPb4
1.0
3.662 0.000 0.000
0.000 3.662 0.000
0.000 0.000 18.586
La Th Pb
3 1 4
direct
0.000 0.000 0.000
0.000 0.000 0.251
0.000 0.000 0.749
0.000 0.000 0.500
0.500 0.500 0.126
0.500 0.500 0.377
0.500 0.500 0.623
0.500 0.500 0.874
```

=====

No. 2
A plane-wave DFT calculation with PBE was carried out for crystalline SiPbS3 at its relaxed geometry.

Computed properties:
**Formation energy (no corrections)**: -0.155 eV per atom
**Space group**: Pm-3m
**Relative energy among the computed polymorphs**: 0.390 eV per atom
**Calculated total energy**: -4.458 eV/atom

POSCAR file:
```
SiPbS3
1.0
4.637 0.000 0.000
0.000 4.637 0.000
0.000 0.000 4.637
Si Pb S
1 1 3
direct
0.000 0.000 0.000
0.500 0.500 0.500
0.000 0.000 0.500
0.000 0.500 0.000
0.500 0.000 0.000
```

=====

No. 3
A plane-wave DFT calculation with PBE was carried out for crystalline AcPmMgRh at its relaxed geometry.

Computed properties:
**Formation enthalpy at 0 K**: -237 meV per atom
**Space group**: F-43m
**Calculated total energy**: -4.688 eV/atom

POSCAR file:
```
AcPmMgRh
1.0
0.000 3.781 3.781
3.781 0.000 3.781
3.781 3.781 0.000
Ac Pm Mg Rh
1 1 1 1
direct
0.000 0.000 0.000
0.500 0.500 0.500
0.250 0.250 0.250
0.750 0.750 0.750
```

=====

No. 4
A plane-wave DFT calculation with PBE was carried out for crystalline Dy2Tl2Ag at its relaxed geometry.

Computed properties:
**Formation enthalpy at 0 K**: -239 meV per atom
**Space group**: P4/mbm
**Relative energy among the computed polymorphs**: 0.020 eV per atom
**Calculated total energy**: -3.596 eV/atom

POSCAR file:
```
Dy2Tl2Ag
1.0
7.604 0.000 0.000
0.000 7.604 0.000
0.000 0.000 4.569
Dy Tl Ag
4 4 2
direct
0.166 0.334 0.000
0.334 0.834 0.000
0.666 0.166 0.000
0.834 0.666 0.000
0.141 0.641 0.500
0.359 0.141 0.500
0.641 0.859 0.500
0.859 0.359 0.500
0.000 0.000 0.500
0.500 0.500 0.500
```

=====

No. 5
A plane-wave DFT calculation with PBE was carried out for crystalline Cs2GaBS4 at its relaxed geometry.

Computed properties:
**Formation energy (no corrections)**: -0.929 eV per atom
**Space group**: Fddd
**Calculated total energy**: -4.419 eV/atom

POSCAR file:
```
Cs2GaBS4
1.0
0.000 6.904 12.432
2.835 0.000 12.432
2.835 6.904 0.000
Cs Ga B S
4 2 2 8
direct
0.052 0.052 0.698
0.302 0.302 0.948
0.698 0.698 0.052
0.948 0.948 0.302
0.125 0.125 0.125
0.875 0.875 0.875
0.375 0.375 0.375
0.625 0.625 0.625
0.040 0.619 0.549
0.291 0.549 0.619
0.381 0.960 0.709
0.451 0.709 0.960
0.549 0.291 0.040
0.619 0.040 0.291
0.709 0.451 0.381
0.960 0.381 0.451
```

=====

No. 6
A plane-wave DFT calculation with PBE was carried out for crystalline CoReCl2 at its relaxed geometry.

Computed properties:
**Formation energy (no corrections)**: 0.985 eV per atom
**Space group**: I-42d
**Relative energy among the computed polymorphs**: 0.892 eV per atom
**Calculated total energy**: -4.826 eV/atom

POSCAR file:
```
CoReCl2
1.0
-2.684 2.684 4.931
2.684 -2.684 4.931
2.684 2.684 -4.931
Co Re Cl
2 2 4
direct
0.000 0.000 0.000
0.750 0.250 0.500
0.250 0.750 0.500
0.500 0.500 0.000
0.108 0.625 0.983
0.375 0.358 0.483
0.642 0.125 0.017
0.875 0.892 0.517
```

=====

No. 7
A plane-wave DFT calculation with PBE was carried out for crystalline AgRh2Br at its relaxed geometry.

Computed properties:
**Formation energy (no corrections)**: 0.697 eV per atom
**Space group**: I-4m2
**Relative energy among the computed polymorphs**: 0.392 eV per atom
**Calculated total energy**: -4.110 eV/atom

POSCAR file:
```
AgRh2Br
1.0
-2.097 2.097 3.921
2.097 -2.097 3.921
2.097 2.097 -3.921
Ag Rh Br
1 2 1
direct
0.000 0.000 0.000
0.500 0.500 0.000
0.750 0.250 0.500
0.250 0.750 0.500
```

=====

No. 8
A plane-wave DFT calculation with PBE was carried out for crystalline MnCr2Pb at its relaxed geometry.

Computed properties:
**Formation enthalpy at 0 K**: 501 meV per atom
**Space group**: I4/mmm
**Calculated total energy**: -7.530 eV/atom

POSCAR file:
```
MnCr2Pb
1.0
-2.088 2.088 3.797
2.088 -2.088 3.797
2.088 2.088 -3.797
Mn Cr Pb
1 2 1
direct
0.000 0.000 0.000
0.250 0.750 0.500
0.750 0.250 0.500
0.500 0.500 0.000
```

=====

No. 9
A plane-wave DFT calculation with PBE was carried out for crystalline AgSeBr2 at its relaxed geometry.

Computed properties:
**Formation energy (no corrections)**: 0.309 eV per atom
**Space group**: P4/mmm
**Relative energy among the computed polymorphs**: 0.465 eV per atom
**Calculated total energy**: -2.111 eV/atom

POSCAR file:
```
AgSeBr2
1.0
3.064 0.000 0.000
0.000 3.064 0.000
0.000 0.000 12.618
Ag Se Br
1 1 2
direct
0.000 0.000 0.000
0.000 0.000 0.500
0.500 0.500 0.164
0.500 0.500 0.836
```

=====

No. 10
A plane-wave DFT calculation with PBE was carried out for crystalline Pm6AuS4 at its relaxed geometry.

Computed properties:
**Formation energy (no corrections)**: -1.633 eV per atom
**Space group**: Cmcm
**Calculated total energy**: -6.023 eV/atom

POSCAR file:
```
Pm6AuS4
1.0
2.001 -6.690 0.000
2.001 6.690 0.000
0.000 0.000 20.807
Pm Au S
12 2 8
direct
0.000 0.000 0.000
0.000 0.000 0.500
0.170 0.830 0.750
0.274 0.726 0.082
0.274 0.726 0.418
0.452 0.548 0.662
0.452 0.548 0.838
0.548 0.452 0.162
0.548 0.452 0.338
0.726 0.274 0.582
0.726 0.274 0.918
0.830 0.170 0.250
0.160 0.840 0.250
0.840 0.160 0.750
0.091 0.909 0.624
0.091 0.909 0.876
0.362 0.638 0.540
0.362 0.638 0.960
0.638 0.362 0.040
0.638 0.362 0.460
0.909 0.091 0.124
0.909 0.091 0.376
```

=====

No. 11
A plane-wave DFT calculation with PBE was carried out for crystalline KBa2PdCl at its relaxed geometry.

Computed properties:
**Formation energy (no corrections)**: 0.108 eV per atom
**Space group**: P4/mmm
**Calculated total energy**: -2.289 eV/atom

POSCAR file:
```
KBa2PdCl
1.0
6.811 0.000 0.000
0.000 6.811 0.000
0.000 0.000 5.154
K Ba Pd Cl
1 2 1 1
direct
0.000 0.000 0.000
0.000 0.500 0.000
0.500 0.000 0.000
0.000 0.000 0.500
0.500 0.500 0.500
```

=====

No. 12
A plane-wave DFT calculation with PBE was carried out for crystalline CaAcGe at its relaxed geometry.

Computed properties:
**Formation enthalpy at 0 K**: -502 meV per atom
**Space group**: F-43m
**Relative energy among the computed polymorphs**: 0.052 eV per atom
**Calculated total energy**: -4.078 eV/atom

POSCAR file:
```
CaAcGe
1.0
0.000 3.716 3.716
3.716 0.000 3.716
3.716 3.716 0.000
Ca Ac Ge
1 1 1
direct
0.000 0.000 0.000
0.500 0.500 0.500
0.750 0.750 0.750
```

=====

So what do the calculations give for theoretical density? Going down the list: 9.844 5.521 7.669 10.579 3.240 7.385 9.478 9.182 4.858 7.125 3.165 5.498 g cm⁻³.